[1]
Sm7Dy2: relaxed, PBE.

E_tot, Ry/atom: -0.3438
DOS at the Fermi energy, states/eV per atom: 1.2539
Formation energy, eV/atom: 0.02
Theoretical density, Mg/m³: 7.66

Structure (CIF):
```
data_Sm7Dy2
_chemical_formula_sum 'Sm7 Dy2'
_cell_length_a 6.2519
_cell_length_b 6.2519
_cell_length_c 8.8248
_cell_angle_alpha 90.00
_cell_angle_beta 90.00
_cell_angle_gamma 120.00
_symmetry_space_group_name_H-M 'P -3 1 m'
_symmetry_Int_Tables_number 162
_symmetry_space_group_name_Hall '-P 3 2'
loop_
_atom_site_label
_atom_site_fract_x
_atom_site_fract_y
_atom_site_fract_z
Sm1 0.0000 0.0000 0.0000
Sm2 0.0000 0.3339 0.6684
Dy1 0.3333 0.6667 0.0000
```

[2]
BaGa3Os: relaxed, PBE.

E_tot, Ry/atom: -0.3056
DOS at the Fermi energy, states/eV per atom: 0.6996
Formation energy, eV/atom: 0.29
Offset from the most stable computed form, meV per atom: 687
Theoretical density, Mg/m³: 6.47

Structure (CIF):
```
data_BaGa3Os
_chemical_formula_sum 'Ba2 Ga6 Os2'
_cell_length_a 3.402
_cell_length_b 5.382
_cell_length_c 15.054
_cell_angle_alpha 90.00
_cell_angle_beta 90.00
_cell_angle_gamma 90.00
_symmetry_space_group_name_H-M 'A m m 2'
_symmetry_Int_Tables_number 38
loop_
_symmetry_equiv_pos_as_xyz
'x,y,z'
'-x,-y,z'
'-x,y,z'
'x,-y,z'
'x,y+1/2,z+1/2'
'-x,-y+1/2,z+1/2'
'-x,y+1/2,z+1/2'
'x,-y+1/2,z+1/2'
loop_
_atom_site_label
_atom_site_fract_x
_atom_site_fract_y
_atom_site_fract_z
Ba1 0.000 0.000 0.000
Ga1 0.000 0.228 0.201
Ga2 0.500 0.000 0.804
Os1 0.500 0.000 0.624
```

[3]
CaPmAs2: relaxed, PBE.

E_tot, Ry/atom: -0.3690
DOS at the Fermi energy, states/eV per atom: 0.4401
Formation energy, eV/atom: -1.01
Offset from the most stable computed form, meV per atom: 170
Theoretical density, Mg/m³: 5.81

Structure (CIF):
```
data_CaPmAs2
_chemical_formula_sum 'Ca1 Pm1 As2'
_cell_length_a 5.442
_cell_length_b 5.442
_cell_length_c 3.235
_cell_angle_alpha 90.00
_cell_angle_beta 90.00
_cell_angle_gamma 90.00
_symmetry_space_group_name_H-M 'P 4/m m m'
_symmetry_Int_Tables_number 123
_symmetry_space_group_name_Hall '-P 4 2'
loop_
_atom_site_label
_atom_site_fract_x
_atom_site_fract_y
_atom_site_fract_z
Ca1 0.000 0.000 0.000
Pm1 0.500 0.500 0.000
As1 0.000 0.500 0.500
```

[4]
NaTl2InHg: relaxed, PBE.

E_tot, Ry/atom: -0.1392
DOS at the Fermi energy, states/eV per atom: 0.4936
Formation energy, eV/atom: -0.07
Theoretical density, Mg/m³: 8.88

Structure (CIF):
```
data_NaTl2InHg
_chemical_formula_sum 'Na2 Tl4 In2 Hg2'
_cell_length_a 6.177
_cell_length_b 5.230
_cell_length_c 8.990
_cell_angle_alpha 90.00
_cell_angle_beta 105.75
_cell_angle_gamma 90.00
_symmetry_space_group_name_H-M 'P 1 21/m 1'
_symmetry_Int_Tables_number 11
loop_
_symmetry_equiv_pos_as_xyz
'x,y,z'
'-x,-y,-z'
'-x,y+1/2,-z'
'x,-y+1/2,z'
loop_
_atom_site_label
_atom_site_fract_x
_atom_site_fract_y
_atom_site_fract_z
Na1 0.229 0.250 0.305
Tl1 0.028 0.250 0.883
Tl2 0.436 0.250 0.687
In1 0.366 0.750 0.912
Hg1 0.167 0.750 0.516
```

[5]
PmOsW: relaxed, PBE.

E_tot, Ry/atom: -0.7105
DOS at the Fermi energy, states/eV per atom: 0.7754
Formation energy, eV/atom: -0.02
Offset from the most stable computed form, meV per atom: 0
Theoretical density, Mg/m³: 14.57

Structure (CIF):
```
data_PmOsW
_chemical_formula_sum 'Pm4 Os4 W4'
_cell_length_a 5.419
_cell_length_b 5.838
_cell_length_c 7.480
_cell_angle_alpha 90.00
_cell_angle_beta 90.00
_cell_angle_gamma 90.00
_symmetry_space_group_name_H-M 'I m m a'
_symmetry_Int_Tables_number 74
_symmetry_space_group_name_Hall '-I 2b 2'
loop_
_atom_site_label
_atom_site_fract_x
_atom_site_fract_y
_atom_site_fract_z
Pm1 0.000 0.250 0.132
Os1 0.000 0.000 0.500
W1 0.250 0.250 0.750
```

[6]
TeAu2N: relaxed, PBE.

E_tot, Ry/atom: -0.2327
DOS at the Fermi energy, states/eV per atom: 1.0153
Offset from the most stable computed form, meV per atom: 550
Theoretical density, Mg/m³: 11.99

Structure (CIF):
```
data_TeAu2N
_chemical_formula_sum 'Te4 Au8 N4'
_cell_length_a 6.670
_cell_length_b 6.670
_cell_length_c 6.670
_cell_angle_alpha 90.00
_cell_angle_beta 90.00
_cell_angle_gamma 90.00
_symmetry_space_group_name_H-M 'F m -3 m'
_symmetry_Int_Tables_number 225
_symmetry_space_group_name_Hall '-F 4 2 3'
loop_
_atom_site_label
_atom_site_fract_x
_atom_site_fract_y
_atom_site_fract_z
Te1 0.000 0.000 0.000
Au1 0.250 0.250 0.250
N1 0.000 0.000 0.500
```

[7]
NdDy3Ni: relaxed, PBE.

E_tot, Ry/atom: -0.3631
DOS at the Fermi energy, states/eV per atom: 1.9688
Formation energy, eV/atom: -0.07
Theoretical density, Mg/m³: 7.56

Structure (CIF):
```
data_NdDy3Ni
_chemical_formula_sum 'Nd1 Dy3 Ni1'
_cell_length_a 5.333
_cell_length_b 5.333
_cell_length_c 5.333
_cell_angle_alpha 90.00
_cell_angle_beta 90.00
_cell_angle_gamma 90.00
_symmetry_space_group_name_H-M 'P m -3 m'
_symmetry_Int_Tables_number 221
_symmetry_space_group_name_Hall '-P 4 2 3'
loop_
_atom_site_label
_atom_site_fract_x
_atom_site_fract_y
_atom_site_fract_z
Nd1 0.000 0.000 0.000
Dy1 0.000 0.500 0.500
Ni1 0.500 0.500 0.500
```

[8]
LiDy2MgSe4: relaxed, PBE.

E_tot, Ry/atom: -0.3604
DOS at the Fermi energy, states/eV per atom: 0.3380
Theoretical density, Mg/m³: 6.16

Structure (CIF):
```
data_LiDy2MgSe4
_chemical_formula_sum 'Li1 Dy2 Mg1 Se4'
_cell_length_a 6.892
_cell_length_b 3.991
_cell_length_c 6.967
_cell_angle_alpha 90.00
_cell_angle_beta 108.95
_cell_angle_gamma 90.00
_symmetry_space_group_name_H-M 'P 1 2/m 1'
_symmetry_Int_Tables_number 10
loop_
_symmetry_equiv_pos_as_xyz
'x,y,z'
'-x,-y,-z'
'-x,y,-z'
'x,-y,z'
loop_
_atom_site_label
_atom_site_fract_x
_atom_site_fract_y
_atom_site_fract_z
Li1 0.000 0.000 0.000
Dy1 0.000 0.500 0.500
Dy2 0.500 0.000 0.500
Mg1 0.500 0.500 0.000
Se1 0.249 0.500 0.238
Se2 0.255 0.000 0.766
```